(1)
{"formula": "Pd3PbO", "functional": "PBE-GGA", "state": "optimized geometry", "cell": [[5.0932, 0.0000, 0.0000], [0.0000, 5.0932, 0.0000], [0.0000, 0.0000, 5.0932]], "species": ["Pd", "Pd", "Pd", "Pb", "O"], "fractional_positions": [[0.0000, 0.0000, 0.5000], [0.0000, 0.5000, 0.0000], [0.5000, 0.0000, 0.0000], [0.0000, 0.0000, 0.0000], [0.5000, 0.5000, 0.5000]], "space_group": "Pm-3m, No. 221", "relative_energy_mev_per_atom": 1413}



(2)
{"formula": "PdPb2O6", "functional": "PBE-GGA", "state": "optimized geometry", "cell": [[5.0495, 0.0000, 0.0000], [0.0000, 5.6465, 0.0000], [0.0000, 0.0000, 9.0666]], "species": ["Pd", "Pd", "Pb", "Pb", "Pb", "Pb", "O", "O", "O", "O", "O", "O", "O", "O", "O", "O", "O", "O"], "fractional_positions": [[0.0000, 0.0000, 0.0000], [0.5000, 0.5000, 0.5000], [0.0000, 0.5000, 0.1904], [0.0000, 0.5000, 0.8096], [0.5000, 0.0000, 0.3096], [0.5000, 0.0000, 0.6904], [0.1979, 0.3072, 0.0000], [0.2204, 0.8392, 0.1564], [0.2204, 0.8392, 0.8436], [0.2796, 0.3392, 0.3436], [0.2796, 0.3392, 0.6564], [0.3021, 0.8072, 0.5000], [0.6979, 0.1928, 0.5000], [0.7204, 0.6608, 0.3436], [0.7204, 0.6608, 0.6564], [0.7796, 0.1608, 0.1564], [0.7796, 0.1608, 0.8436], [0.8021, 0.6928, 0.0000]], "space_group": "Pnnm, No. 58"}



(3)
{"formula": "Pd2PbO4", "functional": "PBE-GGA", "state": "optimized geometry", "cell": [[-2.9714, 2.9714, 5.1128], [2.9714, -2.9714, 5.1128], [2.9714, 2.9714, -5.1128]], "species": ["Pd", "Pd", "Pd", "Pd", "Pb", "Pb", "O", "O", "O", "O", "O", "O", "O", "O"], "fractional_positions": [[0.0000, 0.0000, 0.0000], [0.5000, 0.0000, 0.0000], [0.5000, 0.0000, 0.5000], [0.5000, 0.5000, 0.5000], [0.1250, 0.3750, 0.7500], [0.8750, 0.6250, 0.2500], [0.1232, 0.0117, 0.7896], [0.1664, 0.3768, 0.3885], [0.2779, 0.6664, 0.2896], [0.4883, 0.7779, 0.1115], [0.5117, 0.2221, 0.8885], [0.7221, 0.3336, 0.7104], [0.8336, 0.6232, 0.6115], [0.8768, 0.9883, 0.2104]], "space_group": "I4_1/a, No. 88", "relative_energy_mev_per_atom": 0}



(4)
{"formula": "PdPb2O4", "functional": "PBE-GGA", "state": "optimized geometry", "cell": [[4.0575, 0.0000, 0.0000], [0.0000, 4.0575, 0.0000], [0.0000, 0.0000, 12.5645]], "species": ["Pd", "Pd", "Pb", "Pb", "Pb", "Pb", "O", "O", "O", "O", "O", "O", "O", "O"], "fractional_positions": [[0.0000, 0.0000, 0.0000], [0.5000, 0.5000, 0.5000], [0.0000, 0.0000, 0.3552], [0.0000, 0.0000, 0.6448], [0.5000, 0.5000, 0.1448], [0.5000, 0.5000, 0.8552], [0.0000, 0.0000, 0.1637], [0.0000, 0.0000, 0.8363], [0.0000, 0.5000, 0.0000], [0.0000, 0.5000, 0.5000], [0.5000, 0.0000, 0.0000], [0.5000, 0.0000, 0.5000], [0.5000, 0.5000, 0.3363], [0.5000, 0.5000, 0.6637]], "space_group": "I4/mmm, No. 139"}



(5)
{"formula": "PmPdPbO4", "functional": "PBE-GGA", "state": "optimized geometry", "cell": [[5.6880, 0.0000, 0.0000], [0.0000, 5.3898, 0.0000], [-1.8522, 0.0000, 7.1307]], "species": ["Pm", "Pm", "Pd", "Pd", "Pb", "Pb", "O", "O", "O", "O", "O", "O", "O", "O"], "fractional_positions": [[0.2272, 0.2500, 0.4760], [0.7728, 0.7500, 0.5240], [0.3734, 0.7500, 0.7918], [0.6266, 0.2500, 0.2082], [0.1120, 0.7500, 0.1379], [0.8880, 0.2500, 0.8621], [0.1056, 0.5029, 0.7071], [0.1056, 0.9971, 0.7071], [0.2746, 0.2500, 0.1444], [0.3526, 0.7500, 0.4349], [0.6474, 0.2500, 0.5651], [0.7254, 0.7500, 0.8556], [0.8944, 0.0029, 0.2929], [0.8944, 0.4971, 0.2929]], "space_group": "P2_1/m, No. 11"}



(6)
{"formula": "Pr2PdPbO5", "functional": "PBE-GGA", "state": "optimized geometry", "cell": [[6.8439, 0.0000, 0.0000], [0.0000, 6.8439, 0.0000], [0.0000, 0.0000, 5.9066]], "species": ["Pr", "Pr", "Pr", "Pr", "Pd", "Pd", "Pb", "Pb", "O", "O", "O", "O", "O", "O", "O", "O", "O", "O"], "fractional_positions": [[0.1731, 0.3269, 0.0000], [0.3269, 0.8269, 0.0000], [0.6731, 0.1731, 0.0000], [0.8269, 0.6731, 0.0000], [0.0000, 0.5000, 0.5000], [0.5000, 0.0000, 0.5000], [0.0000, 0.0000, 0.5000], [0.5000, 0.5000, 0.5000], [0.0000, 0.0000, 0.0000], [0.1411, 0.6411, 0.2500], [0.1411, 0.6411, 0.7500], [0.3589, 0.1411, 0.2500], [0.3589, 0.1411, 0.7500], [0.5000, 0.5000, 0.0000], [0.6411, 0.8589, 0.2500], [0.6411, 0.8589, 0.7500], [0.8589, 0.3589, 0.2500], [0.8589, 0.3589, 0.7500]], "space_group": "P4/mbm, No. 127"}



(7)
{"formula": "PuPdPb2O8", "functional": "PBE-GGA", "state": "optimized geometry", "cell": [[5.1536, 0.0000, 0.0000], [0.3275, 5.1501, 0.0000], [0.5408, 0.5024, 6.7588]], "species": ["Pu", "Pd", "Pb", "Pb", "O", "O", "O", "O", "O", "O", "O", "O"], "fractional_positions": [[0.0000, 0.0000, 0.0000], [0.0000, 0.0000, 0.5000], [0.4601, 0.4602, 0.2606], [0.5399, 0.5398, 0.7394], [0.1629, 0.1618, 0.2447], [0.2048, 0.2028, 0.8188], [0.2940, 0.7051, 0.5002], [0.3036, 0.6946, 0.0000], [0.6964, 0.3054, 0.0000], [0.7060, 0.2949, 0.4998], [0.7952, 0.7972, 0.1812], [0.8371, 0.8382, 0.7553]], "space_group": "P-1, No. 2"}



(8)
{"formula": "Rb2PdPbO", "functional": "PBE-GGA", "state": "optimized geometry", "cell": [[6.9790, 0.0000, 0.0000], [0.0000, 6.9790, 0.0000], [0.0000, 0.0000, 4.4146]], "species": ["Rb", "Rb", "Pd", "Pb", "O"], "fractional_positions": [[0.0000, 0.5000, 0.0000], [0.5000, 0.0000, 0.0000], [0.0000, 0.0000, 0.5000], [0.5000, 0.5000, 0.0000], [0.5000, 0.5000, 0.5000]], "space_group": "P4/mmm, No. 123"}



(9)
{"formula": "RbPdPbO4", "functional": "PBE-GGA", "state": "optimized geometry", "cell": [[-3.2303, 3.7594, 4.9012], [3.2303, -3.7594, 4.9012], [3.2303, 3.7594, -4.9012]], "species": ["Rb", "Rb", "Pd", "Pd", "Pb", "Pb", "O", "O", "O", "O", "O", "O", "O", "O"], "fractional_positions": [[0.3970, 0.1470, 0.2500], [0.6030, 0.8530, 0.7500], [0.0000, 0.0000, 0.5000], [0.0000, 0.5000, 0.0000], [0.0000, 0.5000, 0.5000], [0.5000, 0.5000, 0.0000], [0.1705, 0.7484, 0.4221], [0.1738, 0.2516, 0.9221], [0.2086, 0.2369, 0.5283], [0.2086, 0.6802, 0.9717], [0.7914, 0.3198, 0.0283], [0.7914, 0.7631, 0.4717], [0.8262, 0.7484, 0.0779], [0.8295, 0.2516, 0.5779]], "space_group": "Imma, No. 74"}



(10)
{"formula": "Re2PdPbO8", "functional": "PBE-GGA", "state": "optimized geometry", "cell": [[2.6563, 1.5336, 7.7748], [-2.6563, 1.5336, 7.7748], [0.0000, -3.0673, 7.7748]], "species": ["Re", "Re", "Pd", "Pb", "O", "O", "O", "O", "O", "O", "O", "O"], "fractional_positions": [[0.2464, 0.2464, 0.2464], [0.7536, 0.7536, 0.7536], [0.0000, 0.0000, 0.0000], [0.5000, 0.5000, 0.5000], [0.0558, 0.4182, 0.7193], [0.1699, 0.1699, 0.1699], [0.2807, 0.5818, 0.9442], [0.4182, 0.7193, 0.0558], [0.5818, 0.9442, 0.2807], [0.7193, 0.0558, 0.4182], [0.8301, 0.8301, 0.8301], [0.9442, 0.2807, 0.5818]], "space_group": "R32, No. 155"}



(11)
{"formula": "PdRhPbO6", "functional": "PBE-GGA", "state": "optimized geometry", "cell": [[5.2906, 0.0000, 0.0000], [-2.6453, 4.5818, 0.0000], [0.0000, 0.0000, 9.5265]], "species": ["Pd", "Pd", "Rh", "Rh", "Pb", "Pb", "O", "O", "O", "O", "O", "O", "O", "O", "O", "O", "O", "O"], "fractional_positions": [[0.3333, 0.6667, 0.2500], [0.6667, 0.3333, 0.7500], [0.3333, 0.6667, 0.7500], [0.6667, 0.3333, 0.2500], [0.0000, 0.0000, 0.0000], [0.0000, 0.0000, 0.5000], [0.0043, 0.3711, 0.6355], [0.0043, 0.6331, 0.8645], [0.3669, 0.3711, 0.8645], [0.3669, 0.9957, 0.6355], [0.3711, 0.0043, 0.1355], [0.3711, 0.3669, 0.3645], [0.6289, 0.6331, 0.6355], [0.6289, 0.9957, 0.8645], [0.6331, 0.0043, 0.3645], [0.6331, 0.6289, 0.1355], [0.9957, 0.3669, 0.1355], [0.9957, 0.6289, 0.3645]], "space_group": "P-31c, No. 163"}



(12)
{"formula": "PdRu2PbO8", "functional": "PBE-GGA", "state": "optimized geometry", "cell": [[5.5909, 0.0000, 0.0000], [-2.7955, 4.8419, 0.0000], [0.0000, 0.0000, 7.1204]], "species": ["Pd", "Ru", "Ru", "Pb", "O", "O", "O", "O", "O", "O", "O", "O"], "fractional_positions": [[0.0000, 0.0000, 0.0000], [0.3333, 0.6667, 0.2596], [0.6667, 0.3333, 0.7404], [0.0000, 0.0000, 0.5000], [0.0722, 0.3181, 0.2011], [0.2459, 0.9278, 0.2011], [0.3181, 0.2459, 0.7989], [0.3333, 0.6667, 0.5087], [0.6667, 0.3333, 0.4913], [0.6819, 0.7541, 0.2011], [0.7541, 0.0722, 0.7989], [0.9278, 0.6819, 0.7989]], "space_group": "P-3, No. 147"}



(13)
{"formula": "PdPbS2O8", "functional": "PBE-GGA", "state": "optimized geometry", "cell": [[2.4714, 1.4268, 7.4078], [-2.4714, 1.4268, 7.4078], [0.0000, -2.8537, 7.4078]], "species": ["Pd", "Pb", "S", "S", "O", "O", "O", "O", "O", "O", "O", "O"], "fractional_positions": [[0.0000, 0.0000, 0.0000], [0.5000, 0.5000, 0.5000], [0.2510, 0.2510, 0.2510], [0.7490, 0.7490, 0.7490], [0.0198, 0.4439, 0.7219], [0.1834, 0.1834, 0.1834], [0.2781, 0.9802, 0.5561], [0.4439, 0.7219, 0.0198], [0.5561, 0.2781, 0.9802], [0.7219, 0.0198, 0.4439], [0.8166, 0.8166, 0.8166], [0.9802, 0.5561, 0.2781]], "space_group": "R-3, No. 148"}



(14)
{"formula": "Sr2PdPbO6", "functional": "PBE-GGA", "state": "optimized geometry", "cell": [[5.8204, 0.0000, 0.0000], [0.0000, 5.9096, 0.0000], [-5.7330, 0.0000, 8.2127]], "species": ["Sr", "Sr", "Sr", "Sr", "Pd", "Pd", "Pb", "Pb", "O", "O", "O", "O", "O", "O", "O", "O", "O", "O", "O", "O"], "fractional_positions": [[0.2365, 0.0486, 0.2488], [0.2365, 0.4514, 0.7488], [0.7635, 0.5486, 0.2512], [0.7635, 0.9514, 0.7512], [0.0000, 0.0000, 0.5000], [0.0000, 0.5000, 0.0000], [0.5000, 0.0000, 0.0000], [0.5000, 0.5000, 0.5000], [0.1449, 0.2172, 0.9495], [0.1449, 0.2828, 0.4495], [0.2351, 0.6997, 0.9517], [0.2351, 0.8003, 0.4517], [0.3322, 0.0291, 0.7397], [0.3322, 0.4709, 0.2397], [0.6678, 0.5291, 0.7603], [0.6678, 0.9709, 0.2603], [0.7649, 0.1997, 0.5483], [0.7649, 0.3003, 0.0483], [0.8551, 0.7172, 0.5505], [0.8551, 0.7828, 0.0505]], "space_group": "P2_1/c, No. 14"}



(15)
{"formula": "TaPdPb2O6", "functional": "PBE-GGA", "state": "optimized geometry", "cell": [[5.6587, 0.0000, 0.0000], [0.0000, 5.6666, 0.0000], [-5.5946, 0.0000, 8.4773]], "species": ["Ta", "Ta", "Pd", "Pd", "Pb", "Pb", "Pb", "Pb", "O", "O", "O", "O", "O", "O", "O", "O", "O", "O", "O", "O"], "fractional_positions": [[0.0000, 0.0000, 0.0000], [0.0000, 0.5000, 0.5000], [0.5000, 0.0000, 0.5000], [0.5000, 0.5000, 0.0000], [0.2483, 0.0235, 0.7504], [0.2483, 0.4765, 0.2504], [0.7517, 0.5235, 0.7496], [0.7517, 0.9765, 0.2496], [0.1816, 0.0098, 0.2349], [0.1816, 0.4902, 0.7349], [0.2242, 0.7113, 0.0238], [0.2242, 0.7887, 0.5238], [0.3108, 0.2020, 0.0229], [0.3108, 0.2980, 0.5229], [0.6892, 0.7020, 0.4771], [0.6892, 0.7980, 0.9771], [0.7758, 0.2113, 0.4762], [0.7758, 0.2887, 0.9762], [0.8184, 0.5098, 0.2651], [0.8184, 0.9902, 0.7651]], "space_group": "P2_1/c, No. 14"}



(16)
{"formula": "TbPdPb2O6", "functional": "PBE-GGA", "state": "optimized geometry", "cell": [[5.7881, 0.0000, 0.0000], [0.0000, 5.9391, 0.0000], [-5.7882, 0.0000, 8.2775]], "species": ["Tb", "Tb", "Pd", "Pd", "Pb", "Pb", "Pb", "Pb", "O", "O", "O", "O", "O", "O", "O", "O", "O", "O", "O", "O"], "fractional_positions": [[0.0000, 0.0000, 0.0000], [0.0000, 0.5000, 0.5000], [0.5000, 0.0000, 0.5000], [0.5000, 0.5000, 0.0000], [0.2593, 0.0426, 0.7500], [0.2593, 0.4574, 0.2500], [0.7407, 0.5426, 0.7500], [0.7407, 0.9574, 0.2500], [0.1689, 0.0320, 0.2656], [0.1689, 0.4680, 0.7656], [0.2640, 0.6895, 0.0473], [0.2640, 0.8105, 0.5473], [0.3641, 0.2172, 0.0486], [0.3641, 0.2828, 0.5486], [0.6359, 0.7171, 0.4514], [0.6359, 0.7829, 0.9514], [0.7360, 0.1895, 0.4527], [0.7360, 0.3105, 0.9527], [0.8311, 0.5320, 0.2344], [0.8311, 0.9680, 0.7344]], "space_group": "P2_1/c, No. 14"}



(17)
{"formula": "TcPdPb2O6", "functional": "PBE-GGA", "state": "optimized geometry", "cell": [[4.9707, 0.0000, 0.0000], [0.0254, 5.4806, 0.0000], [1.5662, 2.5690, 5.1375]], "species": ["Tc", "Pd", "Pb", "Pb", "O", "O", "O", "O", "O", "O"], "fractional_positions": [[0.0000, 0.0000, 0.0000], [0.5000, 0.5000, 0.0000], [0.2280, 0.7423, 0.5357], [0.7720, 0.2577, 0.4643], [0.1838, 0.6762, 0.1462], [0.2050, 0.1721, 0.1447], [0.2746, 0.1402, 0.6643], [0.7254, 0.8598, 0.3357], [0.7950, 0.8279, 0.8553], [0.8162, 0.3238, 0.8538]], "space_group": "P-1, No. 2"}



(18)
{"formula": "TePdPbO6", "functional": "PBE-GGA", "state": "optimized geometry", "cell": [[5.2946, 0.0000, 0.0000], [-2.6473, 4.5853, 0.0000], [0.0000, 0.0000, 10.8888]], "species": ["Te", "Te", "Pd", "Pd", "Pb", "Pb", "O", "O", "O", "O", "O", "O", "O", "O", "O", "O", "O", "O"], "fractional_positions": [[0.3333, 0.6667, 0.2500], [0.6667, 0.3333, 0.7500], [0.3333, 0.6667, 0.7500], [0.6667, 0.3333, 0.2500], [0.0000, 0.0000, 0.0000], [0.0000, 0.0000, 0.5000], [0.0093, 0.3772, 0.1483], [0.0093, 0.6321, 0.3517], [0.3679, 0.3772, 0.3517], [0.3679, 0.9907, 0.1483], [0.3772, 0.0093, 0.6483], [0.3772, 0.3679, 0.8517], [0.6228, 0.6321, 0.1483], [0.6228, 0.9907, 0.3517], [0.6321, 0.0093, 0.8517], [0.6321, 0.6228, 0.6483], [0.9907, 0.3679, 0.6483], [0.9907, 0.6228, 0.8517]], "space_group": "P-31c, No. 163"}



(19)
{"formula": "Ti2PdPbO6", "functional": "PBE-GGA", "state": "optimized geometry", "cell": [[6.3414, -4.5640, 0.0000], [6.3414, 4.5640, 0.0000], [-2.6688, 0.0000, 5.5908]], "species": ["Ti", "Ti", "Ti", "Ti", "Pd", "Pd", "Pb", "Pb", "O", "O", "O", "O", "O", "O", "O", "O", "O", "O", "O", "O"], "fractional_positions": [[0.1299, 0.3480, 0.2210], [0.3480, 0.1299, 0.7210], [0.6520, 0.8701, 0.2790], [0.8701, 0.6520, 0.7790], [0.2437, 0.7563, 0.2500], [0.7563, 0.2437, 0.7500], [0.3674, 0.6326, 0.7500], [0.6326, 0.3674, 0.2500], [0.1172, 0.6698, 0.8966], [0.1380, 0.5947, 0.3446], [0.2444, 0.2611, 0.4921], [0.2611, 0.2444, 0.9921], [0.3302, 0.8828, 0.6034], [0.4053, 0.8620, 0.1554], [0.5947, 0.1380, 0.8446], [0.6698, 0.1172, 0.3966], [0.7389, 0.7556, 0.0079], [0.7556, 0.7389, 0.5079], [0.8620, 0.4053, 0.6554], [0.8828, 0.3302, 0.1034]], "space_group": "C2/c, No. 15"}



E_tot for every record listed, in sequence, given in eV per atom: -3.52; -5.38; -5.52; -5.30; -6.24; -6.91; -6.83; -2.97; -5.00; -7.26; -5.72; -6.25; -5.86; -5.75; -6.90; -6.09; -6.33; -5.53; -7.50.
E_form (uncorrected) for every record listed, in sequence, given in eV per atom: 1.326; -0.669; -0.670; -0.670; -1.453; -2.105; -1.278; 0.192; -0.762; -1.140; -0.604; -0.661; -1.129; -1.553; -1.474; -1.391; -1.053; -0.887; -2.054.